No. 1
This record from the Alexandria database describes crystalline CePrSmEr at its relaxed geometry. The functional is PBE.

a = 5.742 Å, b = 5.742 Å, c = 5.742 Å
α = 60.00°, β = 60.00°, γ = 60.00°
Positions (direct):
Ce1 0.000 0.000 0.000
Pr1 0.750 0.750 0.750
Sm1 0.250 0.250 0.250
Er1 0.500 0.500 0.500

Uncorrected energy = -0.353 Ry per atom
Magnetization = 3.3 μB/f.u.

No. 2
This record from the Alexandria database describes crystalline Tl3CuBr9 at its relaxed geometry. The functional is PBE.

a = 11.019 Å, b = 11.019 Å, c = 13.018 Å
α = 108.19°, β = 108.19°, γ = 45.43°
Positions (direct):
Tl1 0.022 0.978 0.500
Tl2 0.344 0.441 0.450
Tl3 0.441 0.344 0.950
Tl4 0.528 0.788 0.443
Tl5 0.788 0.528 0.943
Tl6 0.978 0.022 0.000
Cu1 0.587 0.925 0.165
Cu2 0.925 0.587 0.665
Br1 0.003 0.468 0.833
Br2 0.082 0.168 0.966
Br3 0.168 0.082 0.466
Br4 0.221 0.441 0.688
Br5 0.253 0.745 0.084
Br6 0.256 0.764 0.641
Br7 0.441 0.221 0.188
Br8 0.468 0.003 0.333
Br9 0.507 0.556 0.351
Br10 0.556 0.507 0.851
Br11 0.583 0.892 0.973
Br12 0.618 0.791 0.667
Br13 0.745 0.253 0.584
Br14 0.764 0.256 0.141
Br15 0.791 0.618 0.167
Br16 0.806 0.988 0.823
Br17 0.892 0.583 0.473
Br18 0.988 0.806 0.323

Raw formation energy = -465 meV per atom
Magnetization = 1.0 μB/f.u.